a.
First-principles (PBE) data for a relaxed Re5Rh3 crystal, as listed in Alexandria via LeMat-Bulk.

```
Re5Rh3
1.0
2.749 0.000 0.000
0.000 4.404 4.814
0.000 -4.404 4.814
Re Rh
5 3
Direct
0.000 0.000 0.000 Re
0.000 0.088 0.581 Re
0.000 0.498 0.498 Re
0.000 0.581 0.088 Re
0.500 0.251 0.251 Re
0.500 0.332 0.831 Rh
0.500 0.750 0.750 Rh
0.500 0.831 0.332 Rh
```

Calculated values
Total moment = 0.00 μB/cell
Symmetry = Amm2, No. 38



b.
First-principles (PBE) data for a relaxed Re5Rh3 crystal, as listed in Alexandria via LeMat-Bulk.

```
Re5Rh3
1.0
7.661 0.000 0.000
-3.830 6.634 0.000
0.000 0.000 4.806
Re Rh
10 6
Direct
0.000 0.200 0.250 Re
0.000 0.800 0.750 Re
0.200 0.000 0.250 Re
0.200 0.200 0.750 Re
0.333 0.667 0.000 Re
0.333 0.667 0.500 Re
0.667 0.333 0.000 Re
0.667 0.333 0.500 Re
0.800 0.000 0.750 Re
0.800 0.800 0.250 Re
0.000 0.408 0.750 Rh
0.000 0.592 0.250 Rh
0.408 0.000 0.750 Rh
0.408 0.408 0.250 Rh
0.592 0.000 0.250 Rh
0.592 0.592 0.750 Rh
```

Calculated values
Total moment = 0.00 μB/cell
Symmetry = P6_3/mcm, No. 193



Referenced to the most stable arrangement, the calculated values in kJ/mol of atoms are a 0.0; b 35.3.



a.
First-principles (PBE) data for a relaxed Re5Rh3 crystal, as listed in Alexandria via LeMat-Bulk.

```
Re5Rh3
1.0
0.000 3.892 5.494
2.737 0.000 5.494
2.737 3.892 0.000
Re Rh
5 3
Direct
0.000 0.000 0.000 Re
0.121 0.121 0.379 Re
0.379 0.379 0.121 Re
0.621 0.621 0.879 Re
0.879 0.879 0.621 Re
0.251 0.251 0.749 Rh
0.500 0.500 0.500 Rh
0.749 0.749 0.251 Rh
```

Calculated values
Total moment = 0.00 μB/cell
Symmetry = Fmmm, No. 69



b.
First-principles (PBE) data for a relaxed Re5Rh3 crystal, as listed in Alexandria via LeMat-Bulk.

```
Re5Rh3
1.0
0.000 3.837 5.521
2.761 0.000 5.521
2.761 3.837 0.000
Re Rh
5 3
Direct
0.000 0.000 0.000 Re
0.250 0.250 0.750 Re
0.622 0.622 0.878 Re
0.750 0.750 0.250 Re
0.878 0.878 0.622 Re
0.126 0.126 0.374 Rh
0.374 0.374 0.126 Rh
0.500 0.500 0.500 Rh
```

Calculated values
Total moment = 0.00 μB/cell
Symmetry = F222, No. 22



c.
First-principles (PBE) data for a relaxed Re5Rh3 crystal, as listed in Alexandria via LeMat-Bulk.

```
Re5Rh3
1.0
-2.300 2.300 5.627
2.300 -2.300 5.627
2.300 2.300 -5.627
Re Rh
5 3
Direct
0.000 0.000 0.000 Re
0.246 0.246 0.000 Re
0.375 0.875 0.500 Re
0.506 0.506 0.000 Re
0.875 0.375 0.500 Re
0.125 0.625 0.500 Rh
0.625 0.125 0.500 Rh
0.746 0.746 0.000 Rh
```

Calculated values
Total moment = 0.00 μB/cell
Symmetry = I4mm, No. 107



Referenced to the most stable arrangement, the calculated values in kJ/mol of atoms are a 0.7; b 0.0; c 28.3.



a.
First-principles (PBE) data for a relaxed ReRh3 crystal, as listed in Alexandria via LeMat-Bulk.

```
ReRh3
1.0
4.525 -1.360 0.000
4.525 1.360 0.000
-0.811 0.000 4.652
Re Rh
1 3
Direct
0.000 0.000 0.000 Re
0.252 0.252 0.755 Rh
0.500 0.500 0.500 Rh
0.748 0.748 0.245 Rh
```

Calculated values
Total moment = 0.00 μB/cell
Symmetry = C2/m, No. 12



b.
First-principles (PBE) data for a relaxed ReRh3 crystal, as listed in Alexandria via LeMat-Bulk.

```
ReRh3
1.0
2.192 1.266 7.251
-2.192 1.266 7.251
0.000 -2.531 7.251
Re Rh
2 6
Direct
0.056 0.056 0.056 Re
0.944 0.944 0.944 Re
0.168 0.168 0.168 Rh
0.300 0.300 0.300 Rh
0.432 0.432 0.432 Rh
0.568 0.568 0.568 Rh
0.700 0.700 0.700 Rh
0.832 0.832 0.832 Rh
```

Calculated values
Total moment = 0.00 μB/cell
Symmetry = R-3m, No. 166



Referenced to the most stable arrangement, the calculated values in kJ/mol of atoms are a 0.0; b 29.2.



a.
First-principles (PBE) data for a relaxed Re4Rh crystal, as listed in Alexandria via LeMat-Bulk.

```
Re4Rh
1.0
-1.986 1.986 5.583
1.986 -1.986 5.583
1.986 1.986 -5.583
Re Rh
4 1
Direct
0.111 0.111 0.000 Re
0.250 0.750 0.500 Re
0.750 0.250 0.500 Re
0.889 0.889 0.000 Re
0.500 0.500 0.000 Rh
```

Calculated values
Total moment = 0.00 μB/cell
Symmetry = I4/mmm, No. 139



b.
First-principles (PBE) data for a relaxed Re4Rh crystal, as listed in Alexandria via LeMat-Bulk.

```
Re4Rh
1.0
-3.073 3.073 1.964
3.073 -3.073 1.964
3.073 3.073 -1.964
Re Rh
4 1
Direct
0.099 0.701 0.800 Re
0.299 0.099 0.398 Re
0.701 0.901 0.602 Re
0.901 0.299 0.200 Re
0.500 0.500 0.000 Rh
```

Calculated values
Total moment = 0.00 μB/cell
Symmetry = I4/m, No. 87



Referenced to the most stable arrangement, the calculated values in kJ/mol of atoms are a 66.9; b 0.0.



a.
First-principles (PBE) data for a relaxed Re3Rh4 crystal, as listed in Alexandria via LeMat-Bulk.

```
Re3Rh4
1.0
5.037 0.000 0.000
-2.518 4.362 0.000
0.000 0.000 4.858
Re Rh
3 4
Direct
0.000 0.500 0.000 Re
0.500 0.000 0.000 Re
0.500 0.500 0.000 Re
0.000 0.000 0.257 Rh
0.000 0.000 0.743 Rh
0.333 0.667 0.500 Rh
0.667 0.333 0.500 Rh
```

Calculated values
Total moment = 0.00 μB/cell
Symmetry = P6/mmm, No. 191



b.
First-principles (PBE) data for a relaxed Re3Rh4 crystal, as listed in Alexandria via LeMat-Bulk.

```
Re3Rh4
1.0
-1.632 1.632 9.673
1.632 -1.632 9.673
1.632 1.632 -9.673
Re Rh
3 4
Direct
0.000 0.000 0.000 Re
0.288 0.288 0.000 Re
0.712 0.712 0.000 Re
0.143 0.143 0.000 Rh
0.429 0.429 0.000 Rh
0.571 0.571 0.000 Rh
0.857 0.857 0.000 Rh
```

Calculated values
Total moment = 0.00 μB/cell
Symmetry = I4/mmm, No. 139



Referenced to the most stable arrangement, the calculated values in kJ/mol of atoms are a 0.0; b 6.3.



a.
First-principles (PBE) data for a relaxed ReRu2Rh crystal, as listed in Alexandria via LeMat-Bulk.

```
ReRu2Rh
1.0
2.723 -2.722 0.000
2.723 2.722 0.000
-2.719 0.000 3.833
Re Ru Rh
1 2 1
Direct
0.000 0.000 0.000 Re
0.499 0.501 0.000 Ru
0.749 0.251 0.500 Ru
0.250 0.750 0.500 Rh
```

Calculated values
Total moment = 0.00 μB/cell
Symmetry = C2, No. 5



b.
First-principles (PBE) data for a relaxed ReRu2Rh crystal, as listed in Alexandria via LeMat-Bulk.

```
ReRu2Rh
1.0
2.727 -3.830 0.000
2.727 3.830 0.000
0.000 0.000 2.727
Re Ru Rh
1 2 1
Direct
0.000 0.000 0.000 Re
0.000 0.500 0.500 Ru
0.500 0.000 0.500 Ru
0.500 0.500 0.000 Rh
```

Calculated values
Total moment = 0.00 μB/cell
Symmetry = Cmmm, No. 65



Referenced to the most stable arrangement, the calculated values in kJ/mol of atoms are a 0.0; b 2.0.